(1)
The following is a PBE-GGA calculation of a geometry-optimized Pr3TePb structure, from Alexandria.

Structure (POSCAR):
```
Pr3TePb
1.0
4.483 0.000 0.000
-2.231 9.022 0.000
-0.021 -3.528 10.364
Pr Te Pb
6 2 2
direct
0.017 0.034 0.173 Pr
0.176 0.351 0.560 Pr
0.348 0.696 0.951 Pr
0.652 0.304 0.049 Pr
0.824 0.649 0.440 Pr
0.983 0.966 0.827 Pr
0.162 0.325 0.839 Te
0.838 0.675 0.161 Te
0.366 0.731 0.658 Pb
0.634 0.269 0.342 Pb
```

DOS(E_F)	9.97	states/eV/cell
VASP energy	-4.76	eV/atom
crystal system	triclinic
ΔE_f (raw)	-0.520	eV/atom
relative energy among the computed polymorphs	0.310	eV per atom


(2)
The following is a PBE-GGA calculation of a geometry-optimized Pr5Te5Pb structure, from Alexandria.

Structure (POSCAR):
```
Pr5Te5Pb
1.0
7.174 -3.213 0.000
7.174 3.213 0.000
-2.845 0.000 8.609
Pr Te Pb
5 5 1
direct
0.000 0.000 0.000 Pr
0.335 0.335 0.666 Pr
0.336 0.336 0.171 Pr
0.664 0.664 0.829 Pr
0.665 0.665 0.334 Pr
0.164 0.164 0.336 Te
0.167 0.167 0.832 Te
0.500 0.500 0.500 Te
0.833 0.833 0.168 Te
0.836 0.836 0.664 Te
0.500 0.500 0.000 Pb
```

DOS(E_F)	2.53	states/eV/cell
VASP energy	-5.26	eV/atom
crystal system	monoclinic
ΔE_f (raw)	-1.325	eV/atom


(3)
The following is a PBE-GGA calculation of a geometry-optimized Pr4Te2Pb structure, from Alexandria.

Structure (POSCAR):
```
Pr4Te2Pb
1.0
-5.018 5.018 4.901
5.018 -5.018 4.901
5.018 5.018 -4.901
Pr Te Pb
8 4 2
direct
0.186 0.248 0.562 Pr
0.186 0.624 0.938 Pr
0.248 0.186 0.062 Pr
0.376 0.814 0.562 Pr
0.624 0.186 0.438 Pr
0.752 0.814 0.938 Pr
0.814 0.376 0.062 Pr
0.814 0.752 0.438 Pr
0.000 0.500 0.500 Te
0.500 0.000 0.000 Te
0.500 0.500 0.000 Te
0.500 0.500 0.500 Te
0.125 0.875 0.250 Pb
0.875 0.125 0.750 Pb
```

DOS(E_F)	12.63	states/eV/cell
VASP energy	-5.09	eV/atom
crystal system	tetragonal
ΔE_f (raw)	-0.929	eV/atom